1.
A plane-wave DFT calculation with PBE was carried out for a relaxed LiUGa6 crystal.

a = 4.5172 Å, b = 6.1302 Å, c = 6.1302 Å
α = 119.95°, β = 90.00°, γ = 90.00°
Site moments in Bohr magnetons follow the coordinates.
Positions (direct):
Ga (0.0000, 0.6009, 0.9515)  0.00
Ga (0.0000, 0.6004, 0.3996)  0.00
Ga (0.5000, 0.9204, 0.5918)  0.02
Ga (0.5000, 0.4082, 0.0796)  0.02
Ga (0.0000, 0.0485, 0.3991)  0.00
Ga (0.5000, 0.9209, 0.0791)  0.02
Li (0.0000, 0.0841, 0.9159)  0.00
U (0.5000, 0.4163, 0.5837)  2.01

Values from the calculation:
- DOS(E_F): 0.8757 states/eV/atom
- Space group: Amm2
- Formation enthalpy at 0 K: -181 meV/atom

2.
A plane-wave DFT calculation with PBE was carried out for a relaxed LiU2Ga9 crystal.

a = 4.2153 Å, b = 4.2153 Å, c = 12.4765 Å
α = 90.00°, β = 90.00°, γ = 90.00°
Site moments in Bohr magnetons follow the coordinates.
Positions (direct):
Ga (0.5000, 0.5000, 0.3347)  0.04
Ga (0.5000, 0.5000, 0.6653)  0.04
Ga (0.0000, 0.5000, 0.5000)  0.01
Ga (0.5000, 0.0000, 0.8494)  0.01
Ga (0.5000, 0.5000, 0.0000)  0.00
Ga (0.5000, 0.0000, 0.1506)  0.01
Ga (0.5000, 0.0000, 0.5000)  0.01
Ga (0.0000, 0.5000, 0.1506)  0.01
Ga (0.0000, 0.5000, 0.8494)  0.01
U (0.0000, 0.0000, 0.3249)  2.02
U (0.0000, 0.0000, 0.6751)  2.02
Li (0.0000, 0.0000, 0.0000)  -0.01

Values from the calculation:
- DOS(E_F): 1.0817 states/eV/atom
- Space group: P4/mmm
- Formation enthalpy at 0 K: -201 meV/atom

3.
A plane-wave DFT calculation with PBE was carried out for a relaxed LiU4Ga15 crystal.

a = 4.2310 Å, b = 4.2310 Å, c = 21.0494 Å
α = 90.00°, β = 90.00°, γ = 90.00°
Site moments in Bohr magnetons follow the coordinates.
Positions (direct):
Ga (0.0000, 0.5000, 0.2953)  0.02
Ga (0.5000, 0.5000, 0.8020)  0.03
Ga (0.0000, 0.5000, 0.0892)  0.01
Ga (0.5000, 0.0000, 0.2953)  0.02
Ga (0.5000, 0.0000, 0.7047)  0.02
Ga (0.5000, 0.0000, 0.5000)  0.03
Ga (0.5000, 0.0000, 0.9108)  0.01
Ga (0.0000, 0.5000, 0.9108)  0.01
Ga (0.5000, 0.5000, 0.3983)  0.03
Ga (0.5000, 0.0000, 0.0892)  0.01
Ga (0.0000, 0.5000, 0.5000)  0.03
Ga (0.5000, 0.5000, 0.0000)  0.00
Ga (0.5000, 0.5000, 0.1980)  0.03
Ga (0.0000, 0.5000, 0.7047)  0.02
Ga (0.5000, 0.5000, 0.6017)  0.03
U (0.0000, 0.0000, 0.1924)  2.02
U (0.0000, 0.0000, 0.6022)  2.02
U (0.0000, 0.0000, 0.3978)  2.02
U (0.0000, 0.0000, 0.8076)  2.02
Li (0.0000, 0.0000, 0.0000)  -0.01

Values from the calculation:
- DOS(E_F): 1.0380 states/eV/atom
- Space group: P4/mmm
- Formation enthalpy at 0 K: -218 meV/atom

- Which formula does entry 3 have?
  LiU4Ga15

- Which value of formation enthalpy at 0 K does entry 2 give?
  -201 meV/atom

- Among the records above, which one has the highest formation enthalpy at 0 K?
  LiUGa6

- The lowest DOS(E_F) belongs to which entry?
  LiUGa6